(1)
{"formula": "Mg4NiSn", "functional": "PBE", "state": "relaxed", "lattice": [[-2.129, -3.973, 2.460], [6.072, -1.034, 3.582], [-4.152, 6.686, 1.883]], "species": ["Mg", "Mg", "Mg", "Mg", "Ni", "Mg", "Mg", "Sn", "Mg", "Ni", "Sn", "Mg"], "frac_coords": [[0.626, 0.873, 0.252], [0.375, 0.621, 0.748], [0.832, 0.332, 0.663], [0.168, 0.668, 0.337], [0.277, 0.500, 0.000], [0.374, 0.127, 0.748], [0.000, 0.792, 0.000], [0.810, 0.811, 0.623], [0.000, 0.208, 0.000], [0.723, 0.500, 0.000], [0.190, 0.189, 0.377], [0.625, 0.379, 0.252]], "crystal_system": "monoclinic", "ef_ev_per_atom": -0.17, "final_energy_ha_per_atom": -0.105, "vol_a3_per_atom": 20.74}

(2)
{"formula": "Hg3Pt5", "functional": "PBE", "state": "relaxed", "lattice": [[3.982, -4.195, 0.000], [3.982, 4.195, 0.000], [0.000, 0.000, 4.186]], "species": ["Pt", "Pt", "Pt", "Pt", "Hg", "Hg", "Hg", "Pt"], "frac_coords": [[0.500, 0.000, 0.000], [0.250, 0.250, 0.500], [0.000, 0.500, 0.000], [0.000, 0.000, 0.000], [0.241, 0.759, 0.500], [0.500, 0.500, 0.000], [0.759, 0.241, 0.500], [0.750, 0.750, 0.500]], "crystal_system": "orthorhombic", "ef_ev_per_atom": 0.04, "final_energy_ha_per_atom": -0.141, "vol_a3_per_atom": 17.48, "de_polymorph_ev_per_atom": 0.000}

(3)
{"formula": "LiAcSmRh", "functional": "PBE", "state": "relaxed", "lattice": [[5.219, 0.000, 0.000], [2.610, 4.520, 0.000], [2.610, 1.507, 4.261]], "species": ["Ac", "Li", "Sm", "Rh"], "frac_coords": [[0.750, 0.750, 0.750], [0.000, 0.000, 0.000], [0.250, 0.250, 0.250], [0.500, 0.500, 0.500]], "crystal_system": "cubic", "ef_ev_per_atom": -0.29, "final_energy_ha_per_atom": -0.177, "vol_a3_per_atom": 25.13}

(4)
{"formula": "NiBr", "functional": "PBE", "state": "relaxed", "lattice": [[3.470, 0.000, 0.000], [0.000, 7.326, 0.000], [0.000, 0.000, 3.451]], "species": ["Ni", "Ni", "Br", "Br"], "frac_coords": [[0.500, 0.500, 0.817], [0.500, 0.000, 0.517], [0.000, 0.000, 0.014], [0.000, 0.500, 0.320]], "crystal_system": "orthorhombic", "final_energy_ha_per_atom": -0.125, "vol_a3_per_atom": 21.93, "e_form_raw_mev_per_atom": 324.4}

(5)
{"formula": "PrEuNiRh", "functional": "PBE", "state": "relaxed", "lattice": [[4.993, 0.000, 0.000], [2.496, 4.324, 0.000], [2.496, 1.441, 4.076]], "species": ["Rh", "Pr", "Ni", "Eu"], "frac_coords": [[0.750, 0.750, 0.750], [0.500, 0.500, 0.500], [0.250, 0.250, 0.250], [0.000, 0.000, 0.000]], "crystal_system": "cubic", "ef_ev_per_atom": -0.30, "final_energy_ha_per_atom": -0.270, "vol_a3_per_atom": 22.00}

(6)
{"formula": "NaPb2C2", "functional": "PBE", "state": "relaxed", "lattice": [[8.331, 0.000, 0.000], [0.000, 8.331, 0.000], [0.000, 0.000, 3.610]], "species": ["C", "C", "C", "Pb", "Na", "Pb", "Na", "Pb", "Pb", "C"], "frac_coords": [[0.444, 0.056, 0.500], [0.556, 0.944, 0.500], [0.056, 0.556, 0.500], [0.836, 0.664, 0.000], [0.000, 0.000, 0.000], [0.164, 0.336, 0.000], [0.500, 0.500, 0.000], [0.664, 0.164, 0.000], [0.336, 0.836, 0.000], [0.944, 0.444, 0.500]], "crystal_system": "tetragonal", "ef_ev_per_atom": 1.01, "final_energy_ha_per_atom": -0.163, "vol_a3_per_atom": 25.06, "de_polymorph_ev_per_atom": 0.270}

| no. | ρ (g cm⁻³) | spin magnetization (Bohr magnetons per cell) |
| --- | --- | --- |
| 1 | 3.66 | 0.000 |
| 2 | 18.73 | 0.000 |
| 3 | 8.05 | 0.000 |
| 4 | 5.25 | 0.939 |
| 5 | 8.58 | 6.595 |
| 6 | 6.12 | 0.000 |